# PrZn2Ga2

PrZn2Ga2 at its PBEsol-relaxed geometry (meta-GGA SCAN, Alexandria).

Lattice parameters (Å, degrees): 4.187 4.187 6.045 110.26 110.26 90.00
Fractional positions:
1 Zn 0.386 0.386 0.773
2 Zn 0.614 0.614 0.227
3 Ga 0.750 0.250 0.500
4 Ga 0.250 0.750 0.500
5 Pr 0.000 0.000 0.000

Summary:
Formation energy, eV per atom: -0.580
Size of the total moment, μB per atom: 0.000